# 1
Tl2Sn2Sb GGA-PBE relaxed; ΔE_f (raw) = 0.152 eV per atom; ΔE to the lowest computed polymorph = 0 meV/atom
1.0
9.089 0.000 0.000
0.000 9.089 0.000
0.000 0.000 3.594
Tl Sn Sb
4 4 2
direct
0.133 0.367 0.000
0.367 0.867 0.000
0.633 0.133 0.000
0.867 0.633 0.000
0.169 0.669 0.500
0.331 0.169 0.500
0.669 0.831 0.500
0.831 0.331 0.500
0.000 0.000 0.500
0.500 0.500 0.500


# 2
TlSnSb2 GGA-PBE relaxed; ΔE_f (raw) = 0.095 eV per atom; ΔE to the lowest computed polymorph = 52 meV/atom
1.0
4.248 0.000 0.000
-2.124 3.679 0.000
0.000 0.000 23.643
Tl Sn Sb
3 3 6
direct
0.000 0.000 0.000
0.333 0.667 0.667
0.667 0.333 0.333
0.000 0.000 0.832
0.333 0.667 0.499
0.667 0.333 0.166
0.000 0.000 0.243
0.000 0.000 0.424
0.333 0.667 0.091
0.333 0.667 0.910
0.667 0.333 0.576
0.667 0.333 0.757


# 3
Tl3Sn2Sb2 GGA-PBE relaxed; ΔE_f (raw) = 0.017 eV per atom
1.0
13.133 0.000 0.000
0.000 4.240 0.000
-2.954 0.000 7.959
Tl Sn Sb
6 4 4
direct
0.000 0.000 0.000
0.109 0.000 0.423
0.391 0.500 0.577
0.500 0.500 0.000
0.609 0.500 0.423
0.891 0.000 0.577
0.128 0.500 0.801
0.372 0.000 0.199
0.628 0.000 0.801
0.872 0.500 0.199
0.208 0.500 0.191
0.292 0.000 0.809
0.708 0.000 0.191
0.792 0.500 0.809


# 4
Tl5Sn12Sb3 GGA-PBE relaxed; ΔE_f (raw) = 0.221 eV per atom
1.0
-9.194 9.194 9.194
9.194 -9.194 9.194
9.194 9.194 -9.194
Tl Sn Sb
20 48 12
direct
0.000 0.000 0.000
0.000 0.000 0.500
0.000 0.500 0.000
0.000 0.500 0.500
0.125 0.750 0.875
0.125 0.875 0.250
0.250 0.125 0.875
0.250 0.625 0.375
0.375 0.250 0.625
0.375 0.625 0.750
0.500 0.000 0.000
0.500 0.000 0.500
0.500 0.500 0.000
0.500 0.500 0.500
0.625 0.375 0.250
0.625 0.750 0.375
0.750 0.375 0.625
0.750 0.875 0.125
0.875 0.125 0.750
0.875 0.250 0.125
0.071 0.654 0.427
0.071 0.917 0.645
0.073 0.727 0.645
0.073 0.846 0.429
0.083 0.227 0.154
0.083 0.355 0.929
0.145 0.227 0.573
0.145 0.417 0.571
0.154 0.083 0.227
0.154 0.571 0.927
0.227 0.154 0.083
0.227 0.573 0.145
0.273 0.355 0.927
0.273 0.417 0.346
0.346 0.273 0.417
0.346 0.573 0.929
0.355 0.927 0.273
0.355 0.929 0.083
0.417 0.346 0.273
0.417 0.571 0.145
0.427 0.071 0.654
0.427 0.855 0.773
0.429 0.073 0.846
0.429 0.855 0.583
0.571 0.145 0.417
0.571 0.927 0.154
0.573 0.145 0.227
0.573 0.929 0.346
0.583 0.429 0.855
0.583 0.654 0.727
0.645 0.071 0.917
0.645 0.073 0.727
0.654 0.427 0.071
0.654 0.727 0.583
0.727 0.583 0.654
0.727 0.645 0.073
0.773 0.427 0.855
0.773 0.846 0.917
0.846 0.429 0.073
0.846 0.917 0.773
0.855 0.583 0.429
0.855 0.773 0.427
0.917 0.645 0.071
0.917 0.773 0.846
0.927 0.154 0.571
0.927 0.273 0.355
0.929 0.083 0.355
0.929 0.346 0.573
0.125 0.250 0.375
0.125 0.375 0.750
0.250 0.375 0.125
0.250 0.875 0.625
0.375 0.125 0.250
0.375 0.750 0.125
0.625 0.250 0.875
0.625 0.875 0.750
0.750 0.125 0.375
0.750 0.625 0.875
0.875 0.625 0.250
0.875 0.750 0.625


# 5
TlSn2Sb2 GGA-PBE relaxed; ΔE_f (raw) = 0.061 eV per atom; ΔE to the lowest computed polymorph = 84 meV/atom
1.0
8.721 0.000 0.000
0.000 8.721 0.000
0.000 0.000 3.928
Tl Sn Sb
2 4 4
direct
0.000 0.000 0.000
0.500 0.500 0.000
0.145 0.355 0.500
0.355 0.855 0.500
0.645 0.145 0.500
0.855 0.645 0.500
0.145 0.645 0.000
0.355 0.145 0.000
0.645 0.855 0.000
0.855 0.355 0.000


# 6
Tl6SnSb3 GGA-PBE relaxed; ΔE_f (raw) = 0.043 eV per atom
1.0
11.283 0.000 0.000
0.000 5.192 0.000
-5.346 0.000 11.568
Tl Sn Sb
12 2 6
direct
0.094 0.250 0.326
0.126 0.250 0.054
0.324 0.250 0.608
0.353 0.750 0.437
0.370 0.250 0.944
0.397 0.750 0.155
0.603 0.250 0.845
0.630 0.750 0.056
0.647 0.250 0.563
0.676 0.750 0.392
0.874 0.750 0.946
0.906 0.750 0.674
0.306 0.750 0.750
0.694 0.250 0.250
0.081 0.750 0.506
0.162 0.750 0.905
0.397 0.250 0.303
0.603 0.750 0.697
0.838 0.250 0.095
0.919 0.250 0.494